1.
Below is Dy2CuNi after structural relaxation, with properties calculated at the PBE level.

Values from the calculation:
formation enthalpy at 0 K = 0.2778 eV/atom
crystal system = trigonal

a = 3.8461 Å, b = 3.8461 Å, c = 25.6512 Å
α = 90.00°, β = 90.00°, γ = 120.00°
Space group R-3m (No. 166, hexagonal axes)
Unique sites:
Dy1 0.0000 0.0000 0.1092 x6
Cu1 0.0000 0.0000 0.0000 x3
Ni1 0.0000 0.0000 0.5000 x3

=====

2.
Below is TlSiRh after structural relaxation, with properties calculated at the PBE level.

Values from the calculation:
relative energy among the computed polymorphs = 108 meV/atom
ΔE_f (raw) = 0.082 eV/f.u.
crystal system = hexagonal

a = 4.0655 Å, b = 4.0655 Å, c = 4.0991 Å
α = 90.00°, β = 90.00°, γ = 120.00°
Space group P-6m2 (No. 187)
Unique sites:
Tl1 0.0000 0.0000 0.0000 x1
Si1 0.3333 0.6667 0.5000 x1
Rh1 0.6667 0.3333 0.5000 x1

=====

3.
Below is Cu2I6Cl after structural relaxation, with properties calculated at the PBE level.

Values from the calculation:
relative energy among the computed polymorphs = 3 meV/atom
ΔE_f (raw) = -0.581 eV/f.u.
crystal system = monoclinic

a = 12.013 Å, b = 15.400 Å, c = 8.451 Å
α = 90.00°, β = 92.09°, γ = 90.00°
Space group C2/c (No. 15)
Unique sites:
Cu1 0.085 0.202 0.162 x8
I1 0.087 0.368 0.115 x8
I2 0.102 0.138 0.464 x8
I3 0.237 0.384 0.829 x8
Cl1 0.000 0.134 0.750 x4

=====

4.
Below is Rb2TiSnO4 after structural relaxation, with properties calculated at the PBE level.

Values from the calculation:
ΔE_f (raw) = -16.750 eV/f.u.
crystal system = orthorhombic

a = 6.096 Å, b = 8.046 Å, c = 6.603 Å
α = 90.00°, β = 90.00°, γ = 90.00°
Space group Pmmn (No. 59, origin choice 2)
Unique sites:
Rb1 0.250 0.013 0.223 x4
Ti1 0.250 0.750 0.639 x2
Sn1 0.250 0.250 0.740 x2
O1 0.001 0.250 0.525 x4
O2 0.250 0.561 0.787 x4

=====

5.
Below is ReBI2N after structural relaxation, with properties calculated at the PBE level.

Values from the calculation:
relative energy among the computed polymorphs = 0 meV/atom
ΔE_f (raw) = 5.277 eV/f.u.
crystal system = tetragonal

a = 6.443 Å, b = 6.443 Å, c = 2.759 Å
α = 90.00°, β = 90.00°, γ = 90.00°
Space group P4/mmm (No. 123)
Unique sites:
Re1 0.000 0.000 0.000 x1
B1 0.500 0.500 0.500 x1
I1 0.000 0.500 0.500 x2
N1 0.500 0.500 0.000 x1

=====

6.
Below is LiPaCdO4 after structural relaxation, with properties calculated at the PBE level.

Values from the calculation:
ΔE_f (raw) = -17.193 eV/f.u.
crystal system = orthorhombic

a = 6.418 Å, b = 7.101 Å, c = 9.310 Å
α = 90.00°, β = 90.00°, γ = 90.00°
Space group Imma (No. 74)
Unique sites:
Li1 0.000 0.250 0.140 x4
Pa1 0.000 0.000 0.500 x4
Cd1 0.250 0.250 0.750 x4
O1 0.000 0.012 0.727 x8
O2 0.216 0.250 0.492 x8

=====

7.
Below is NdCd6Au6 after structural relaxation, with properties calculated at the PBE level.

Values from the calculation:
formation enthalpy at 0 K = -0.2468 eV/atom
crystal system = hexagonal

a = 5.8236 Å, b = 5.8236 Å, c = 9.4697 Å
α = 90.00°, β = 90.00°, γ = 120.00°
Space group P6/mmm (No. 191)
Unique sites:
Nd1 0.0000 0.0000 0.0000 x1
Cd1 0.0000 0.5000 0.2529 x6
Au1 0.0000 0.0000 0.3254 x2
Au2 0.3333 0.6667 0.0000 x2
Au3 0.3333 0.6667 0.5000 x2

=====

8.
Below is Sm3PuN4 after structural relaxation, with properties calculated at the PBE level.

Values from the calculation:
relative energy among the computed polymorphs = 27 meV/atom
ΔE_f (raw) = -11.234 eV/f.u.
crystal system = cubic

a = 5.033 Å, b = 5.033 Å, c = 5.033 Å
α = 90.00°, β = 90.00°, γ = 90.00°
Space group Pm-3m (No. 221)
Unique sites:
Sm1 0.000 0.000 0.500 x3
Pu1 0.500 0.500 0.500 x1
N1 0.000 0.000 0.000 x1
N2 0.000 0.500 0.500 x3

=====

9.
Below is NiMo2Br after structural relaxation, with properties calculated at the PBE level.

Values from the calculation:
relative energy among the computed polymorphs = 314 meV/atom
ΔE_f (raw) = 2.673 eV/f.u.
crystal system = monoclinic

a = 8.975 Å, b = 3.071 Å, c = 4.827 Å
α = 90.00°, β = 99.95°, γ = 90.00°
Space group Cm (No. 8)
Unique sites:
Ni1 0.000 0.000 0.000 x2
Mo1 0.238 0.500 0.178 x2
Mo2 0.450 0.000 0.410 x2
Br1 0.215 0.000 0.714 x2

=====

10.
Below is CoOs2Cl after structural relaxation, with properties calculated at the PBE level.

Values from the calculation:
relative energy among the computed polymorphs = 674 meV/atom
ΔE_f (raw) = 4.580 eV/f.u.
crystal system = cubic

a = 6.119 Å, b = 6.119 Å, c = 6.119 Å
α = 90.00°, β = 90.00°, γ = 90.00°
Space group F-43m (No. 216)
Unique sites:
Co1 0.000 0.000 0.000 x4
Os1 0.000 0.000 0.500 x4
Os2 0.250 0.250 0.750 x4
Cl1 0.250 0.250 0.250 x4

=====

11.
Below is LiNi2Hg2 after structural relaxation, with properties calculated at the PBE level.

Values from the calculation:
relative energy among the computed polymorphs = 37 meV/atom
formation enthalpy at 0 K = 0.0781 eV/atom
crystal system = tetragonal

a = 7.586 Å, b = 7.586 Å, c = 2.934 Å
α = 90.00°, β = 90.00°, γ = 90.00°
Space group P4/mbm (No. 127)
Unique sites:
Li1 0.000 0.000 0.000 x2
Ni1 0.118 0.382 0.500 x4
Hg1 0.177 0.677 0.000 x4

=====

12.
Below is Ca2PbO after structural relaxation, with properties calculated at the PBE level.

Values from the calculation:
relative energy among the computed polymorphs = 83 meV/atom
ΔE_f (raw) = -6.126 eV/f.u.
crystal system = tetragonal

a = 6.974 Å, b = 6.974 Å, c = 8.905 Å
α = 90.00°, β = 90.00°, γ = 90.00°
Space group I-42d (No. 122)
Unique sites:
Ca1 0.117 0.250 0.125 x8
Pb1 0.000 0.000 0.500 x4
O1 0.000 0.000 0.000 x4

=====

Sequential energy output: -4.49; -5.02; -2.21; -6.30; -5.05; -7.05; -2.55; -9.13; -6.61; -6.71; -2.74; -4.70 eV/atom
Sequential calculated density output: 6.78; 9.49; 3.93; 4.12; 6.74; 6.49; 11.94; 9.79; 8.38; 13.77; 10.34; 4.65 Mg/m³